Record 1
# Dy3ScSn2

Dy3ScSn2 after structural relaxation (PBE-GGA, the Alexandria database).

Results
Mass density = 7.69 g/cm³
Final energy = -5.281 eV per atom

Lattice parameters (Å, degrees): 6.333 16.624 6.316 90.00 90.00 90.00
Space group Ibam (No. 72)
Unique sites:
1 Dy 0.000 0.000 0.250 x4
2 Dy 0.248 0.173 0.000 x8
3 Sc 0.000 0.500 0.250 x4
4 Sn 0.242 0.364 0.000 x8

Record 2
# TcAg2Br

TcAg2Br after structural relaxation (PBE-GGA, the Alexandria database).

Results
Raw formation energy = 0.57 eV/atom
Mass density = 8.75 g/cm³
Final energy = -3.868 eV per atom
Energy above the lowest structure with this stoichiometry = 154 meV per atom

Lattice parameters (Å, degrees): 2.9738 2.9738 29.2495 90.00 90.00 120.00
Space group R-3m (No. 166, hexagonal axes)
Unique sites:
1 Tc 0.0000 0.0000 0.0000 x3
2 Ag 0.0000 0.0000 0.2558 x6
3 Br 0.0000 0.0000 0.5000 x3

Record 3
# RbAg2AsS4

RbAg2AsS4 after structural relaxation (PBE-GGA, the Alexandria database).

Results
Raw formation energy = -0.36 eV/atom
Mass density = 3.94 g/cm³
Final energy = -3.839 eV per atom

Lattice parameters (Å, degrees): 6.576 7.475 8.654 90.00 90.00 90.00
Space group I222 (No. 23)
Unique sites:
1 Rb 0.000 0.000 0.000 x2
2 Ag 0.000 0.500 0.179 x4
3 As 0.000 0.000 0.500 x2
4 S 0.189 0.175 0.352 x8

Record 4
# BaZr2Pb

BaZr2Pb after structural relaxation (PBE-GGA, the Alexandria database).

Results
Mass density = 7.21 g/cm³
Final energy = -5.635 eV per atom

Lattice parameters (Å, degrees): 3.444 4.117 8.562 90.00 90.09 90.00
Space group Pm (No. 6)
Unique sites:
1 Ba 0.000 0.000 0.000 x1
2 Zr 0.001 0.000 0.489 x1
3 Zr 0.502 0.500 0.673 x1
4 Pb 0.501 0.500 0.295 x1

Record 5
# Sm3Dy2Y4

Sm3Dy2Y4 after structural relaxation (PBE-GGA, the Alexandria database).

Results
Mass density = 6.42 g/cm³
Final energy = -5.451 eV per atom
Energy above the lowest structure with this stoichiometry = 0 meV per atom

Lattice parameters (Å, degrees): 11.879 3.583 14.771 90.00 111.45 90.00
Space group C2/m (No. 12)
Unique sites:
1 Sm 0.000 0.000 0.000 x2
2 Sm 0.111 0.000 0.443 x4
3 Dy 0.055 0.500 0.221 x4
4 Y 0.168 0.500 0.667 x4
5 Y 0.222 0.000 0.889 x4

Record 6
# Rb2CuHgCl5

Rb2CuHgCl5 after structural relaxation (PBE-GGA, the Alexandria database).

Results
Raw formation energy = -1.17 eV/atom
Mass density = 3.72 g/cm³
Final energy = -2.896 eV per atom

Lattice parameters (Å, degrees): 4.235 18.939 13.624 90.00 90.00 90.00
Space group Cmc2_1 (No. 36)
Unique sites:
1 Rb 0.000 0.118 0.000 x4
2 Rb 0.000 0.130 0.621 x4
3 Cu 0.000 0.433 0.718 x4
4 Hg 0.000 0.210 0.325 x4
5 Cl 0.000 0.072 0.303 x4
6 Cl 0.000 0.294 0.959 x4
7 Cl 0.000 0.308 0.679 x4
8 Cl 0.000 0.344 0.313 x4
9 Cl 0.000 0.499 0.084 x4

Record 7
# Ca6PdRh

Ca6PdRh after structural relaxation (PBE-GGA, the Alexandria database).

Results
Mass density = 2.73 g/cm³
Final energy = -3.389 eV per atom

Lattice parameters (Å, degrees): 6.986 11.754 6.983 90.00 107.64 90.00
Space group C2/m (No. 12)
Unique sites:
1 Ca 0.242 0.165 0.245 x8
2 Ca 0.248 0.000 0.756 x4
3 Pd 0.000 0.500 0.500 x2
4 Rh 0.000 0.000 0.000 x2